Computed, not measured: an optimized crystal structure of ScIn2 at the GGA-PBE level of DFT.

a b c (Å): 6.1446 6.1446 7.6611
angles (deg): 73.03 73.03 31.86
Last column: nearest neighbours and their distance in Å.
Sites, in units of the cell vectors:
1 Sc 0.8103 0.8103 0.1446  8 In 3.12-3.24, 4 Sc 3.37-3.42
2 Sc 0.1897 0.1897 0.8554  8 In 3.12-3.24, 4 Sc 3.37-3.42
3 In 0.4650 0.4650 0.8159  5 Sc 3.12-3.24, 7 In 3.17-3.37
4 In 0.1376 0.1376 0.4641  9 In 3.13-3.37, 3 Sc 3.16-3.24
5 In 0.8624 0.8624 0.5359  9 In 3.13-3.37, 3 Sc 3.16-3.24
6 In 0.5350 0.5350 0.1841  5 Sc 3.12-3.24, 7 In 3.17-3.37

The calculation puts the total magnetization at 0.00 μB per cell. The calculation puts the formation energy at -0.173 eV/atom. The calculation puts the density of states at the Fermi level at 1.157 states/eV per atom. The value obtained for the volume is 145.5 Å³ per cell. For the electronic total energy, the calculation gives -4.109 eV per atom.